No. 1
DySc3Bi4 after structural relaxation, computed with GGA-PBE.

The total energy comes out at -5.5924 eV per atom. The total magnetization comes out at 0.00 μB per formula unit. The density of states at the Fermi level is 3.21 states/eV/cell. The value obtained for the formation energy is -0.702 eV/atom.

The space group is Cmmm (No. 65) and the conventional cell measures 8.648, 12.227 and 4.320 Å, with angles of 90.00, 90.00 and 90.00 degrees. Symmetry generates all atoms from Dy at (0.000, 0.000, 0.000), Sc at (0.000, 0.500, 0.000), Sc at (0.250, 0.250, 0.500), Bi at (0.000, 0.255, 0.000) and Bi at (0.240, 0.500, 0.500).



No. 2
DyH6IrPd2 after structural relaxation, computed with GGA-PBE.

The total energy comes out at -4.7280 eV per atom. The total magnetization comes out at 0.00 μB per formula unit. The density of states at the Fermi level is 0.93 states/eV/cell.

The space group is P2_1/c (No. 14) and the conventional cell measures 4.526, 4.593 and 10.065 Å, with angles of 90.00, 116.64 and 90.00 degrees. Symmetry generates all atoms from Dy at (0.000, 0.000, 0.000), H at (0.121, 0.140, 0.367), H at (0.386, 0.640, 0.133), H at (0.414, 0.671, 0.413), Ir at (0.500, 0.000, 0.500) and Pd at (0.248, 0.077, 0.748).



No. 3
Li2PmCd9 after structural relaxation, computed with GGA-PBE.

The total energy comes out at -1.6127 eV per atom. The total magnetization comes out at 0.00 μB per formula unit. The density of states at the Fermi level is 14.49 states/eV/cell. The value obtained for the formation energy is -0.212 eV/atom.

The space group is I4_1/amd (No. 141, origin choice 2) and the conventional cell measures 11.773, 11.773 and 7.467 Å, with angles of 90.00, 90.00 and 90.00 degrees. Symmetry generates all atoms from Li at (0.000, 0.000, 0.000), Pm at (0.000, 0.250, 0.375), Cd at (0.000, 0.250, 0.875) and Cd at (0.121, 0.051, 0.679).



No. 4
TlNi10B3 after structural relaxation, computed with GGA-PBE.

The total energy comes out at -5.8808 eV per atom. The total magnetization comes out at 0.00 μB per formula unit. The density of states at the Fermi level is 115.23 states/eV/cell. The value obtained for the formation energy is -0.151 eV/atom.

The space group is Fm-3m (No. 225) and the conventional cell measures 10.613, 10.613 and 10.613 Å, with angles of 90.00, 90.00 and 90.00 degrees. Symmetry generates all atoms from Tl at (0.250, 0.250, 0.250), Ni at (0.000, 0.166, 0.166), Ni at (0.113, 0.113, 0.387) and B at (0.000, 0.000, 0.272).



No. 5
Ba2FeW after structural relaxation, computed with GGA-PBE.

The total energy comes out at -5.4660 eV per atom. The total magnetization comes out at 1.34 μB per formula unit. The calculation puts the polymorph energy (0 for the lowest one) at 278.9 meV/atom. The density of states at the Fermi level is 9.68 states/eV/cell. The value obtained for the formation energy is 0.849 eV/atom.

The space group is Imm2 (No. 44) and the conventional cell measures 3.685, 5.420 and 12.237 Å, with angles of 90.00, 90.00 and 90.00 degrees. Symmetry generates all atoms from Ba at (0.000, 0.000, 0.000), Ba at (0.000, 0.500, 0.219), Fe at (0.000, 0.500, 0.800) and W at (0.000, 0.000, 0.409).



No. 6
CsZnGe2 after structural relaxation, computed with GGA-PBE.

The total energy comes out at -2.7427 eV per atom. The total magnetization comes out at 0.00 μB per formula unit. The density of states at the Fermi level is 2.05 states/eV/cell. The value obtained for the formation energy is 0.098 eV/atom.

The space group is P4/mmm (No. 123) and the conventional cell measures 3.591, 3.591 and 8.041 Å, with angles of 90.00, 90.00 and 90.00 degrees. Symmetry generates all atoms from Cs at (0.000, 0.000, 0.000), Zn at (0.000, 0.000, 0.500) and Ge at (0.500, 0.500, 0.341).



No. 7
CsSr2SnS after structural relaxation, computed with GGA-PBE.

The total energy comes out at -2.5995 eV per atom. As for the uncorrected formation energy: -0.13 eV/atom. The total magnetization comes out at 0.00 μB per formula unit. The density of states at the Fermi level is 4.67 states/eV/cell.

The space group is P4/mmm (No. 123) and the conventional cell measures 6.368, 6.368 and 5.922 Å, with angles of 90.00, 90.00 and 90.00 degrees. Symmetry generates all atoms from Cs at (0.000, 0.000, 0.000), Sr at (0.000, 0.500, 0.500), Sn at (0.500, 0.500, 0.500) and S at (0.500, 0.500, 0.000).



No. 8
CrOs3 after structural relaxation, computed with GGA-PBE.

The total energy comes out at -10.7769 eV per atom. The total magnetization comes out at 0.00 μB per formula unit. The density of states at the Fermi level is 4.02 states/eV/cell. The value obtained for the formation energy is 0.051 eV/atom.

The space group is P-6m2 (No. 187) and the conventional cell measures 2.7257, 2.7257 and 8.5723 Å, with angles of 90.00, 90.00 and 120.00 degrees. Symmetry generates all atoms from Cr at (0.0000, 0.0000, 0.0000), Os at (0.0000, 0.0000, 0.5000) and Os at (0.3333, 0.6667, 0.2436).



No. 9
NbRuRhAu after structural relaxation, computed with GGA-PBE.

The total energy comes out at -7.7051 eV per atom. The total magnetization comes out at 0.00 μB per formula unit. The density of states at the Fermi level is 3.34 states/eV/cell. The value obtained for the formation energy is -0.211 eV/atom.

The space group is Pmmm (No. 47) and the conventional cell measures 3.781, 4.035 and 4.109 Å, with angles of 90.00, 90.00 and 90.00 degrees. Symmetry generates all atoms from Nb at (0.000, 0.000, 0.000), Ru at (0.500, 0.500, 0.000), Rh at (0.500, 0.000, 0.500) and Au at (0.000, 0.500, 0.500).



No. 10
Al2Zn2Cd after structural relaxation, computed with GGA-PBE.

The total energy comes out at -2.0926 eV per atom. The total magnetization comes out at 0.00 μB per formula unit. The calculation puts the polymorph energy (0 for the lowest one) at 0.0 meV/atom. The density of states at the Fermi level is 2.84 states/eV/cell. The value obtained for the formation energy is 0.097 eV/atom.

The space group is P4/mbm (No. 127) and the conventional cell measures 8.006, 8.006 and 2.842 Å, with angles of 90.00, 90.00 and 90.00 degrees. Symmetry generates all atoms from Al at (0.123, 0.377, 0.000), Zn at (0.174, 0.674, 0.500) and Cd at (0.000, 0.000, 0.000).



No. 11
Ag5Pd3Au3 after structural relaxation, computed with GGA-PBE.

The total energy comes out at -3.4285 eV per atom. The total magnetization comes out at 0.00 μB per formula unit. The density of states at the Fermi level is 4.81 states/eV/cell. The value obtained for the formation energy is 0.178 eV/atom.

The space group is P-62m (No. 189) and the conventional cell measures 9.3067, 9.3067 and 2.8166 Å, with angles of 90.00, 90.00 and 120.00 degrees. Symmetry generates all atoms from Ag at (0.0000, 0.6653, 0.0000), Ag at (0.3333, 0.6667, 0.0000), Pd at (0.0000, 0.1645, 0.0000) and Au at (0.0000, 0.4110, 0.5000).



No. 12
Rb3N2Cl2 after structural relaxation, computed with GGA-PBE.

The total energy comes out at -4.3810 eV per atom. As for the uncorrected formation energy: -1.06 eV/atom. The total magnetization comes out at 1.01 μB per formula unit. The density of states at the Fermi level is 5.30 states/eV/cell.

The space group is Immm (No. 71) and the conventional cell measures 4.487, 5.607 and 18.670 Å, with angles of 90.00, 90.00 and 90.00 degrees. Symmetry generates all atoms from Rb at (0.000, 0.000, 0.000), Rb at (0.000, 0.000, 0.343), N at (0.132, 0.500, 0.000) and Cl at (0.000, 0.000, 0.169).



No. 13
Ce3BiI3 after structural relaxation, computed with GGA-PBE.

The total energy comes out at -4.7593 eV per atom. As for the uncorrected formation energy: -1.00 eV/atom. The total magnetization comes out at 4.13 μB per formula unit. The density of states at the Fermi level is 171.21 states/eV/cell.

The space group is I4_132 (No. 214) and the conventional cell measures 12.817, 12.817 and 12.817 Å, with angles of 90.00, 90.00 and 90.00 degrees. Symmetry generates all atoms from Ce at (0.122, 0.372, 0.125), Bi at (0.125, 0.125, 0.125) and I at (0.118, 0.132, 0.625).



No. 14
HoMg2Rh after structural relaxation, computed with GGA-PBE.

The total energy comes out at -4.2669 eV per atom. The total magnetization comes out at 0.00 μB per formula unit. The density of states at the Fermi level is 10.22 states/eV/cell. The value obtained for the formation energy is -0.487 eV/atom.

The space group is Pnma (No. 62) and the conventional cell measures 7.608, 8.339 and 5.383 Å, with angles of 90.00, 90.00 and 90.00 degrees. Symmetry generates all atoms from Ho at (0.031, 0.250, 0.096), Mg at (0.169, 0.056, 0.607) and Rh at (0.126, 0.750, 0.402).



No. 15
HoMgNp after structural relaxation, computed with GGA-PBE.

The total energy comes out at -6.1737 eV per atom. The total magnetization comes out at 1.86 μB per formula unit. The density of states at the Fermi level is 19.75 states/eV/cell. The value obtained for the formation energy is 0.197 eV/atom.

The space group is C2/m (No. 12) and the conventional cell measures 16.169, 3.551 and 5.313 Å, with angles of 90.00, 92.38 and 90.00 degrees. Symmetry generates all atoms from Ho at (0.095, 0.000, 0.321), Mg at (0.075, 0.500, 0.817) and Np at (0.242, 0.000, 0.846).



No. 16
Hf3IrRu2 after structural relaxation, computed with GGA-PBE.

The total energy comes out at -10.3937 eV per atom. The total magnetization comes out at 0.00 μB per formula unit. The density of states at the Fermi level is 2.26 states/eV/cell. The value obtained for the formation energy is -0.848 eV/atom.

The space group is P4/mmm (No. 123) and the conventional cell measures 3.274, 3.274 and 9.632 Å, with angles of 90.00, 90.00 and 90.00 degrees. Symmetry generates all atoms from Hf at (0.000, 0.000, 0.000), Hf at (0.000, 0.000, 0.332), Ir at (0.500, 0.500, 0.500) and Ru at (0.500, 0.500, 0.168).



No. 17
Y4HgPt after structural relaxation, computed with GGA-PBE.

The total energy comes out at -5.0467 eV per atom. The total magnetization comes out at 0.00 μB per formula unit. The calculation puts the polymorph energy (0 for the lowest one) at 987.8 meV/atom. The density of states at the Fermi level is 21.67 states/eV/cell. The value obtained for the formation energy is 0.320 eV/atom.

The space group is F-43m (No. 216) and the conventional cell measures 8.588, 8.588 and 8.588 Å, with angles of 90.00, 90.00 and 90.00 degrees. Symmetry generates all atoms from Y at (0.124, 0.124, 0.376), Hg at (0.000, 0.000, 0.000) and Pt at (0.250, 0.250, 0.750).



No. 18
LiHg2Te2 after structural relaxation, computed with GGA-PBE.

The total energy comes out at -1.9672 eV per atom. As for the uncorrected formation energy: -0.21 eV/atom. The total magnetization comes out at 0.00 μB per formula unit. The calculation puts the polymorph energy (0 for the lowest one) at 0.0 meV/atom. The density of states at the Fermi level is 4.10 states/eV/cell.

The space group is P4/mbm (No. 127) and the conventional cell measures 8.186, 8.186 and 4.310 Å, with angles of 90.00, 90.00 and 90.00 degrees. Symmetry generates all atoms from Li at (0.000, 0.000, 0.000), Hg at (0.123, 0.377, 0.500) and Te at (0.207, 0.707, 0.000).



No. 19
NbZnMo3 after structural relaxation, computed with GGA-PBE.

The total energy comes out at -6.9323 eV per atom. The total magnetization comes out at 0.00 μB per formula unit. The calculation puts the polymorph energy (0 for the lowest one) at 288.1 meV/atom. The density of states at the Fermi level is 7.63 states/eV/cell. The value obtained for the formation energy is 1.835 eV/atom.

The space group is Pm-3m (No. 221) and the conventional cell measures 4.751, 4.751 and 4.751 Å, with angles of 90.00, 90.00 and 90.00 degrees. Symmetry generates all atoms from Nb at (0.000, 0.000, 0.000), Zn at (0.500, 0.500, 0.500) and Mo at (0.000, 0.000, 0.500).



No. 20
Sm2HgC2 after structural relaxation, computed with GGA-PBE.

The total energy comes out at -5.9696 eV per atom. The total magnetization comes out at 0.00 μB per formula unit. The density of states at the Fermi level is 7.96 states/eV/cell. The value obtained for the formation energy is -0.332 eV/atom.

The space group is C2/c (No. 15) and the conventional cell measures 16.080, 4.066 and 6.914 Å, with angles of 90.00, 114.85 and 90.00 degrees. Symmetry generates all atoms from Sm at (0.153, 0.169, 0.094), Hg at (0.000, 0.384, 0.250) and C at (0.225, 0.370, 0.516).



No. 21
Mg2NiOs after structural relaxation, computed with GGA-PBE.

The total energy comes out at -4.9004 eV per atom. The total magnetization comes out at 0.00 μB per formula unit. The calculation puts the polymorph energy (0 for the lowest one) at 100.9 meV/atom. The density of states at the Fermi level is 3.79 states/eV/cell. The value obtained for the formation energy is 0.150 eV/atom.

The space group is Pm (No. 6) and the conventional cell measures 2.721, 4.539 and 4.892 Å, with angles of 90.00, 90.11 and 90.00 degrees. Symmetry generates all atoms from Mg at (0.000, 0.000, 0.000), Mg at (0.004, 0.500, 0.662), Ni at (0.502, 0.500, 0.193) and Os at (0.502, 0.000, 0.483).



No. 22
Pr4ZnGa after structural relaxation, computed with GGA-PBE.

The total energy comes out at -4.0046 eV per atom. The total magnetization comes out at 0.00 μB per formula unit. The calculation puts the polymorph energy (0 for the lowest one) at 0.0 meV/atom. The density of states at the Fermi level is 8.38 states/eV/cell. The value obtained for the formation energy is -0.101 eV/atom.

The space group is P4/mmm (No. 123) and the conventional cell measures 5.154, 5.154 and 7.244 Å, with angles of 90.00, 90.00 and 90.00 degrees. Symmetry generates all atoms from Pr at (0.000, 0.500, 0.249), Zn at (0.000, 0.000, 0.000) and Ga at (0.500, 0.500, 0.500).